TlHgIr2 | GGA-PBE | optimized geometry

## Properties
For the total energy, the calculation gives -4.31 eV per atom. As for the energy above the most stable polymorph in this dataset: 0.355 eV per atom. For the energy of formation from the pure elements, the calculation gives 0.784 eV/atom. Its total magnetization is 0.3 μB/f.u. The space group is F-43m.

Cell and atoms, written as extended XYZ:
```
16
Lattice="6.632 0.000 0.000 0.000 6.632 0.000 0.000 0.000 6.632" Properties=species:S:1:pos:R:3 pbc="T T T"
Tl 0.000 0.000 0.000
Tl 0.000 3.316 3.316
Tl 3.316 0.000 3.316
Tl 3.316 3.316 0.000
Hg 1.658 1.658 4.974
Hg 1.658 4.974 1.658
Hg 4.974 1.658 1.658
Hg 4.974 4.974 4.974
Ir 0.000 0.000 3.316
Ir 0.000 3.316 0.000
Ir 1.658 1.658 1.658
Ir 1.658 4.974 4.974
Ir 3.316 0.000 0.000
Ir 3.316 3.316 3.316
Ir 4.974 1.658 4.974
Ir 4.974 4.974 1.658
```